{
  "formula": "NdGe5",
  "functional": "meta-GGA SCAN",
  "state": "PBEsol geometry",
  "lattice_angstrom": [[-2.0618, 0.9562, -3.2855], [2.6136, -2.6236, -4.8325], [-2.4963, -5.0408, -2.3293]],
  "species": ["Ge", "Ge", "Ge", "Ge", "Ge", "Nd"],
  "frac_coords": [[0.3307, 0.8746, 0.4640], [0.0000, 0.5000, 0.5000], [0.6693, 0.1254, 0.5360], [0.6693, 0.5360, 0.1254], [0.3307, 0.4640, 0.8746], [0.0000, 0.0000, 0.0000]],
  "e_form_ev_per_atom": -0.279,
  "total_magnetization_mub_per_atom": 0.000,
  "space_group": "Immm (71)",
  "n_ef_per_ev_atom": 0.373
}

{
  "formula": "BiSeBr2N",
  "functional": "meta-GGA SCAN",
  "state": "PBEsol geometry",
  "lattice_angstrom": [[-2.1524, 4.7990, -1.5890], [-0.5165, -1.9851, -5.2955], [-5.1994, -1.9252, 1.2288]],
  "species": ["Br", "Br", "N", "Se", "Bi"],
  "frac_coords": [[0.0000, 0.5000, 0.0000], [0.0000, 0.0000, 0.5000], [0.5000, 0.5000, 0.5000], [0.5000, 0.0000, 0.0000], [0.0000, 0.0000, 0.0000]],
  "e_form_raw_ev_per_atom": 0.861,
  "total_magnetization_mub_per_atom": 0.765,
  "polymorph_energy_mev_per_atom": 39.8,
  "space_group": "P4/mmm (123)",
  "n_ef_per_ev_atom": 1.023
}

{
  "formula": "Ba2PrWO6",
  "functional": "meta-GGA SCAN",
  "state": "PBEsol geometry",
  "lattice_angstrom": [[-1.6139, -5.8405, 0.0210], [4.2006, -4.3066, -0.7238], [1.5341, -3.5504, 4.6645]],
  "species": ["O", "O", "O", "O", "O", "O", "Pr", "Ba", "Ba", "W"],
  "frac_coords": [[0.7283, 0.2717, 0.7283], [0.2717, 0.2717, 0.7283], [0.2717, 0.7283, 0.7283], [0.7283, 0.7283, 0.2717], [0.2717, 0.7283, 0.2717], [0.7283, 0.2717, 0.2717], [0.0000, 0.0000, 0.0000], [0.2500, 0.2500, 0.2500], [0.7500, 0.7500, 0.7500], [0.5000, 0.5000, 0.5000]],
  "e_form_raw_ev_per_atom": -2.977,
  "total_magnetization_mub_per_atom": 0.000,
  "space_group": "Fm-3m (225)",
  "n_ef_per_ev_atom": 0.281
}

{
  "formula": "MgTe3",
  "functional": "meta-GGA SCAN",
  "state": "PBEsol geometry",
  "lattice_angstrom": [[4.2910, 0.0000, 0.0000], [0.0000, 6.0204, 0.0000], [0.0000, 0.0000, 8.7165]],
  "species": ["Te", "Te", "Te", "Te", "Te", "Te", "Mg", "Mg"],
  "frac_coords": [[0.0000, 0.5000, 0.5822], [0.0000, 0.2575, 0.1366], [0.5000, 0.2425, 0.8634], [0.0000, 0.7425, 0.1366], [0.5000, 0.0000, 0.4178], [0.5000, 0.7575, 0.8634], [0.0000, 0.0000, 0.6371], [0.5000, 0.5000, 0.3629]],
  "e_form_raw_ev_per_atom": -0.171,
  "total_magnetization_mub_per_atom": 0.000,
  "space_group": "Pmmn (59)",
  "n_ef_per_ev_atom": 0.737
}